[1]
Density functional theory data (PBE) for crystalline Ge3H at its relaxed geometry.

Lattice parameters (Å, degrees): 4.468 4.468 4.468 60.00 60.00 60.00
Fractional coordinates of all 4 atoms:
Ge1 0.000 0.000 0.000
Ge2 0.250 0.250 0.250
Ge3 0.750 0.750 0.750
H1 0.500 0.500 0.500

Computed properties:
Raw total energy (eV/cell): -15.06
Spin magnetization (μB per cell): 0.0

***

[2]
Density functional theory data (PBE) for crystalline CuH6Br at its relaxed geometry.

Lattice parameters (Å, degrees): 4.655 4.655 5.298 96.85 96.85 75.76
Fractional coordinates of all 8 atoms:
Cu1 0.000 0.000 0.000
H1 0.064 0.064 0.737
H2 0.073 0.699 0.137
H3 0.234 0.861 0.800
H4 0.699 0.073 0.137
H5 0.844 0.844 0.160
H6 0.861 0.234 0.800
Br1 0.292 0.292 0.329

Computed properties:
Raw total energy (eV/cell): -23.58
Spin magnetization (μB per cell): 0.0

***

[3]
Density functional theory data (PBE) for crystalline Ta2TiP at its relaxed geometry.

Lattice parameters (Å, degrees): 5.123 5.123 7.928 90.00 90.00 140.97
Fractional coordinates of all 8 atoms:
Ta1 0.142 0.858 0.554
Ta2 0.142 0.858 0.946
Ta3 0.858 0.142 0.054
Ta4 0.858 0.142 0.446
Ti1 0.456 0.544 0.750
Ti2 0.544 0.456 0.250
P1 0.251 0.749 0.250
P2 0.749 0.251 0.750

Computed properties:
Energy of formation from the pure elements (meV/atom): -657
Raw total energy (eV/cell): -79.28
Spin magnetization (μB per cell): 0.0

***

[4]
Density functional theory data (PBE) for crystalline ThCdTc4 at its relaxed geometry.

Lattice parameters (Å, degrees): 5.407 5.407 5.407 60.00 60.00 60.00
Fractional coordinates of all 6 atoms:
Th1 0.000 0.000 0.000
Cd1 0.750 0.750 0.750
Tc1 0.376 0.376 0.376
Tc2 0.376 0.376 0.873
Tc3 0.376 0.873 0.376
Tc4 0.873 0.376 0.376

Computed properties:
Energy of formation from the pure elements (meV/atom): 161
Raw total energy (eV/cell): -48.83
Spin magnetization (μB per cell): 0.0

***

[5]
Density functional theory data (PBE) for crystalline Pm5Ag4Ge at its relaxed geometry.

Lattice parameters (Å, degrees): 3.680 3.680 18.898 90.00 90.00 90.00
Fractional coordinates of all 10 atoms:
Pm1 0.000 0.000 0.000
Pm2 0.000 0.000 0.202
Pm3 0.000 0.000 0.405
Pm4 0.000 0.000 0.595
Pm5 0.000 0.000 0.798
Ag1 0.500 0.500 0.101
Ag2 0.500 0.500 0.299
Ag3 0.500 0.500 0.701
Ag4 0.500 0.500 0.899
Ge1 0.500 0.500 0.500

Computed properties:
Energy of formation from the pure elements (meV/atom): -348
Raw total energy (eV/cell): -43.26
Spin magnetization (μB per cell): 0.0

***

[6]
Density functional theory data (PBE) for crystalline PmSnHg2 at its relaxed geometry.

Lattice parameters (Å, degrees): 4.574 4.574 4.871 90.00 90.00 90.00
Fractional coordinates of all 4 atoms:
Pm1 0.000 0.000 0.000
Sn1 0.500 0.500 0.000
Hg1 0.000 0.500 0.500
Hg2 0.500 0.000 0.500

Computed properties:
Energy of formation from the pure elements (meV/atom): -457
Raw total energy (eV/cell): -11.19
Spin magnetization (μB per cell): 0.0

***

Copy entry 6 word for word.
Density functional theory data (PBE) for crystalline PmSnHg2 at its relaxed geometry.

Lattice parameters (Å, degrees): 4.574 4.574 4.871 90.00 90.00 90.00
Fractional coordinates of all 4 atoms:
Pm1 0.000 0.000 0.000
Sn1 0.500 0.500 0.000
Hg1 0.000 0.500 0.500
Hg2 0.500 0.000 0.500

Computed properties:
Energy of formation from the pure elements (meV/atom): -457
Raw total energy (eV/cell): -11.19
Spin magnetization (μB per cell): 0.0